Run w
Ca2ScRu: optimized geometry, PBE.

Lattice parameters (Å, degrees): 10.611 10.611 10.611 18.29 18.29 18.29
Positions (direct):
1 Ca 0.233 0.233 0.233
2 Ca 0.767 0.767 0.767
3 Sc 0.000 0.000 0.000
4 Ru 0.500 0.500 0.500

* magnetic moment: 0.8 μB/cell

Run x
Ca2ScRu: optimized geometry, PBE.

Lattice parameters (Å, degrees): 3.522 4.804 5.952 90.00 104.78 90.00
Positions (direct):
1 Ca 0.108 0.000 0.279
2 Ca 0.892 0.000 0.721
3 Sc 0.500 0.500 0.000
4 Ru 0.500 0.500 0.500

* magnetic moment: 0.0 μB/cell

Run y
Ca2ScRu: optimized geometry, PBE.

Lattice parameters (Å, degrees): 3.442 3.433 8.974 90.00 90.21 90.00
Positions (direct):
1 Ca 0.000 0.000 0.000
2 Ca 0.497 0.500 0.355
3 Sc 0.500 0.500 0.704
4 Ru 0.999 0.000 0.571

* magnetic moment: 0.0 μB/cell

run y is favored, and the nearest alternative lies 43.4 kJ/mol of atoms above it.

Run w
Ca2ScRu: optimized geometry, PBE.

Lattice parameters (Å, degrees): 6.375 6.375 6.375 148.03 128.21 62.17
Positions (direct):
1 Ca 0.000 0.000 0.000
2 Ca 0.692 0.192 0.500
3 Sc 0.377 0.377 0.000
4 Ru 0.217 0.717 0.500

* magnetic moment: 0.0 μB/cell

Run x
Ca2ScRu: optimized geometry, PBE.

Lattice parameters (Å, degrees): 5.899 5.899 5.899 137.11 137.11 62.27
Positions (direct):
1 Ca 0.250 0.750 0.500
2 Ca 0.750 0.250 0.500
3 Sc 0.000 0.000 0.000
4 Ru 0.500 0.500 0.000

* magnetic moment: 0.0 μB/cell

Run y
Ca2ScRu: optimized geometry, PBE.

Lattice parameters (Å, degrees): 3.399 3.399 8.962 90.00 90.00 90.00
Positions (direct):
1 Ca 0.000 0.000 0.189
2 Ca 0.000 0.000 0.811
3 Sc 0.500 0.500 0.500
4 Ru 0.500 0.500 0.000

* magnetic moment: 1.4 μB/cell

Run z
Ca2ScRu: optimized geometry, PBE.

Lattice parameters (Å, degrees): 4.425 4.425 7.318 107.53 107.53 59.81
Positions (direct):
1 Ca 0.000 0.000 0.000
2 Ca 0.195 0.195 0.587
3 Sc 0.764 0.764 0.292
4 Ru 0.430 0.430 0.290

* magnetic moment: 0.0 μB/cell

run w is favored, and the nearest alternative lies 2.0 kJ/mol of atoms above it.

Run w
CaRuSe: optimized geometry, PBE.

Lattice parameters (Å, degrees): 4.519 4.519 4.519 60.00 60.00 60.00
Positions (direct):
1 Ca 0.000 0.000 0.000
2 Ru 0.500 0.500 0.500
3 Se 0.250 0.250 0.250

* magnetic moment: 1.8 μB/cell

Run x
CaRuSe: optimized geometry, PBE.

Lattice parameters (Å, degrees): 4.698 4.698 4.698 60.00 60.00 60.00
Positions (direct):
1 Ca 0.000 0.000 0.000
2 Ru 0.250 0.250 0.250
3 Se 0.750 0.750 0.750

* magnetic moment: 1.9 μB/cell

run w is favored, and the nearest alternative lies 61.3 kJ/mol of atoms above it.

Run w
CaRuSe: optimized geometry, PBE.

Lattice parameters (Å, degrees): 4.188 4.188 4.186 90.00 90.00 120.00
Positions (direct):
1 Ca 0.000 0.000 0.000
2 Ru 0.333 0.667 0.500
3 Se 0.667 0.333 0.500

* magnetic moment: 0.0 μB/cell

Run x
CaRuSe: optimized geometry, PBE.

Lattice parameters (Å, degrees): 5.885 5.885 5.885 147.22 147.22 47.04
Positions (direct):
1 Ca 0.000 0.000 0.000
2 Ru 0.696 0.696 0.000
3 Se 0.293 0.293 0.000

* magnetic moment: 0.0 μB/cell

run w is favored, and the nearest alternative lies 19.0 kJ/mol of atoms above it.

Run w
CaRuSe3: optimized geometry, PBE.

Lattice parameters (Å, degrees): 5.351 5.351 5.351 90.00 90.00 90.00
Positions (direct):
1 Ca 0.000 0.000 0.000
2 Ru 0.500 0.500 0.500
3 Se 0.000 0.000 0.500
4 Se 0.000 0.500 0.000
5 Se 0.500 0.000 0.000

* magnetic moment: 3.0 μB/cell

Run x
CaRuSe3: optimized geometry, PBE.

Lattice parameters (Å, degrees): 4.973 4.973 4.973 90.00 90.00 90.00
Positions (direct):
1 Ca 0.000 0.000 0.000
2 Ru 0.500 0.500 0.500
3 Se 0.000 0.500 0.500
4 Se 0.500 0.000 0.500
5 Se 0.500 0.500 0.000

* magnetic moment: 2.3 μB/cell

run x is favored, and the nearest alternative lies 116.0 kJ/mol of atoms above it.

Run w
CaSi2Ru4: optimized geometry, PBE.

Lattice parameters (Å, degrees): 7.319 7.319 3.968 90.00 90.00 148.36
Positions (direct):
1 Ca 0.000 0.000 0.000
2 Si 0.413 0.587 0.500
3 Si 0.587 0.413 0.500
4 Ru 0.187 0.813 0.500
5 Ru 0.309 0.691 0.000
6 Ru 0.691 0.309 0.000
7 Ru 0.813 0.187 0.500

* magnetic moment: 0.0 μB/cell

Run x
CaSi2Ru4: optimized geometry, PBE.

Lattice parameters (Å, degrees): 6.903 6.903 6.903 140.59 140.59 56.96
Positions (direct):
1 Ca 0.000 0.000 0.000
2 Si 0.401 0.401 0.000
3 Si 0.599 0.599 0.000
4 Ru 0.000 0.500 0.500
5 Ru 0.218 0.218 0.000
6 Ru 0.500 0.000 0.500
7 Ru 0.782 0.782 0.000

* magnetic moment: 3.3 μB/cell

run w is favored, and the nearest alternative lies 171.3 kJ/mol of atoms above it.